[1]
NiAsBr2: relaxed, PBE-GGA.

As for the density of states at the Fermi level: 1.31 states/eV/atom. As for the magnetization: 1.40 μB per formula unit. The value obtained for the raw formation energy is 550.4 meV/atom. Its total DFT energy (no corrections) is -23.2 eV/cell.

Cell: 3.770 3.770 13.984 Å, 90.00 90.00 90.00°
Space group I-4m2 (No. 119)
Asymmetric unit:
Ni 0.000 0.000 0.000 (multiplicity 2)
As 0.000 0.500 0.750 (multiplicity 2)
Br 0.000 0.000 0.500 (multiplicity 2)
Br 0.000 0.500 0.250 (multiplicity 2)


[2]
NiAsBr4: relaxed, PBE-GGA.

As for the density of states at the Fermi level: 2.24 states/eV/atom. As for the magnetization: 2.84 μB per formula unit. The value obtained for the raw formation energy is 1248.7 meV/atom. Its total DFT energy (no corrections) is -38.5 eV/cell.

Cell: 8.736 8.736 8.736 Å, 90.00 90.00 90.00°
Space group F-43m (No. 216)
Asymmetric unit:
Ni 0.000 0.000 0.000 (multiplicity 4)
As 0.250 0.250 0.750 (multiplicity 4)
Br 0.126 0.126 0.374 (multiplicity 16)


[3]
NiAsBr2: relaxed, PBE-GGA.

As for the density of states at the Fermi level: 0.45 states/eV/atom. As for the magnetization: 0.00 μB per formula unit. The value obtained for the raw formation energy is -121.4 meV/atom. Its total DFT energy (no corrections) is -28.5 eV/cell.

Cell: 3.622 4.480 16.338 Å, 90.00 90.00 90.00°
Space group Imm2 (No. 44)
Asymmetric unit:
Ni 0.000 0.000 0.000 (multiplicity 2)
As 0.000 0.500 0.583 (multiplicity 2)
Br 0.000 0.000 0.670 (multiplicity 2)
Br 0.000 0.500 0.404 (multiplicity 2)


[4]
NiAsBr2: relaxed, PBE-GGA.

As for the density of states at the Fermi level: 1.02 states/eV/atom. As for the magnetization: 1.03 μB per formula unit. The value obtained for the raw formation energy is 578.2 meV/atom. Its total DFT energy (no corrections) is -11.5 eV/cell.

Cell: 3.137 3.137 9.029 Å, 90.00 90.00 90.00°
Space group P4/mmm (No. 123)
Asymmetric unit:
Ni 0.000 0.000 0.000 (multiplicity 1)
As 0.000 0.000 0.500 (multiplicity 1)
Br 0.500 0.500 0.178 (multiplicity 2)


[5]
NiAsBr2: relaxed, PBE-GGA.

As for the density of states at the Fermi level: 1.03 states/eV/atom. As for the magnetization: 0.00 μB per formula unit. The value obtained for the raw formation energy is 166.7 meV/atom. Its total DFT energy (no corrections) is -13.1 eV/cell.

Cell: 3.225 3.225 8.718 Å, 90.00 90.00 90.00°
Space group P4mm (No. 99)
Asymmetric unit:
Ni 0.000 0.000 0.000 (multiplicity 1)
As 0.500 0.500 0.125 (multiplicity 1)
Br 0.000 0.000 0.421 (multiplicity 1)
Br 0.500 0.500 0.817 (multiplicity 1)


[6]
NiAsBr3: relaxed, PBE-GGA.

As for the density of states at the Fermi level: 0.68 states/eV/atom. As for the magnetization: 0.00 μB per formula unit. The value obtained for the raw formation energy is 296.0 meV/atom. Its total DFT energy (no corrections) is -14.0 eV/cell.

Cell: 4.866 4.866 4.866 Å, 90.00 90.00 90.00°
Space group Pm-3m (No. 221)
Asymmetric unit:
Ni 0.000 0.000 0.000 (multiplicity 1)
As 0.500 0.500 0.500 (multiplicity 1)
Br 0.000 0.000 0.500 (multiplicity 3)